VASP calculation (PBE) on an optimized crystal structure of EuLuZn4.

Cell: 5.5008 5.5008 5.5008 Å, 60.00 60.00 60.00°
Sites, in units of the cell vectors:
Zn: 0.6254 0.1238 0.6254
Zn: 0.6254 0.6254 0.6254
Zn: 0.6254 0.6254 0.1238
Zn: 0.1238 0.6254 0.6254
Eu: 0.2500 0.2500 0.2500
Lu: 0.0000 0.0000 0.0000

Summary:
Its uncorrected energy is -3.5764 eV/atom. The total moment is 6.85 μB/f.u. The value obtained for the energy of formation is -261 meV/atom. As for the volume: 117.7 Å³/cell.